Record 1
VASP calculation (GGA-PBE) on a geometry-optimized Ho2TiNi structure.

Unit cell a=3.3827 b=3.3827 c=7.4340 alpha=90.00 beta=90.00 gamma=90.00
Last column: nearest neighbours and their distance in Å.
Space group P4/mmm (No. 123)
Symmetry-distinct sites (fractional):
1 Ho 0.0000 0.0000 0.2201 x2  4 Ni 2.90, 4 Ti 3.17
2 Ti 0.5000 0.5000 0.5000 x1  8 Ho 3.17, 4 Ti 3.38
3 Ni 0.5000 0.5000 0.0000 x1  8 Ho 2.90

**Calculated formation energy**: -64 meV/atom
**Crystal system**: tetragonal
**Distance to the lowest polymorph of the same formula**: 0.0000 eV per atom

---

Record 2
VASP calculation (GGA-PBE) on a geometry-optimized HfScPdAu structure.

Unit cell a=6.7224 b=6.7224 c=6.7224 alpha=90.00 beta=90.00 gamma=90.00
Last column: nearest neighbours and their distance in Å.
Space group F-43m (No. 216)
Symmetry-distinct sites (fractional):
1 Hf 0.0000 0.0000 0.0000 x4  4 Pd 2.91, 4 Au 2.91
2 Sc 0.0000 0.0000 0.5000 x4  4 Pd 2.91, 4 Au 2.91
3 Pd 0.2500 0.2500 0.7500 x4  4 Hf 2.91, 4 Sc 2.91
4 Au 0.2500 0.2500 0.2500 x4  4 Hf 2.91, 4 Sc 2.91

**Calculated formation energy**: -667 meV/atom
**Crystal system**: cubic

---

Record 3
VASP calculation (GGA-PBE) on a geometry-optimized Al2Si2Sn structure.

Unit cell a=7.8307 b=7.8307 c=2.9631 alpha=90.00 beta=90.00 gamma=90.00
Last column: nearest neighbours and their distance in Å.
Space group P4/mbm (No. 127)
Symmetry-distinct sites (fractional):
1 Al 0.1387 0.3613 0.0000 x4  6 Si 2.73, 2 Al 2.96
2 Si 0.1543 0.6543 0.5000 x4  6 Al 2.73, 2 Si 2.96, 2 Sn 2.96
3 Sn 0.0000 0.0000 0.5000 x2  2 Sn 2.96, 4 Si 2.96

**Crystal system**: tetragonal
**Distance to the lowest polymorph of the same formula**: 0.0000 eV per atom
**Raw formation energy**: 217.1 meV per atom

---

Record 4
VASP calculation (GGA-PBE) on a geometry-optimized ZrCuNiPb structure.

Unit cell a=6.4861 b=6.4861 c=6.4861 alpha=90.00 beta=90.00 gamma=90.00
Last column: nearest neighbours and their distance in Å.
Space group F-43m (No. 216)
Symmetry-distinct sites (fractional):
1 Zr 0.0000 0.0000 0.0000 x4  4 Cu 2.81, 4 Ni 2.81
2 Cu 0.2500 0.2500 0.7500 x4  4 Zr 2.81, 4 Pb 2.81
3 Ni 0.2500 0.2500 0.2500 x4  4 Zr 2.81, 4 Pb 2.81
4 Pb 0.0000 0.0000 0.5000 x4  4 Ni 2.81, 4 Cu 2.81

**Calculated formation energy**: -98 meV/atom
**Crystal system**: cubic

---

Record 5
VASP calculation (GGA-PBE) on a geometry-optimized KNa2H6Os structure.

Unit cell a=8.0507 b=8.0507 c=8.0507 alpha=90.00 beta=90.00 gamma=90.00
Last column: nearest neighbours and their distance in Å.
Space group Fm-3m (No. 225)
Symmetry-distinct sites (fractional):
1 K 0.0000 0.0000 0.0000 x4  6 H 2.32
2 Na 0.2500 0.2500 0.2500 x8  12 H 2.86
3 H 0.0000 0.0000 0.2885 x24  1 Os 1.70
4 Os 0.0000 0.0000 0.5000 x4  6 H 1.70

**Crystal system**: cubic
**Calculated total energy**: -3.584 eV/atom

---

Record 6
VASP calculation (GGA-PBE) on a geometry-optimized InCoSn2Bi structure.

Unit cell a=4.9843 b=4.9843 c=5.0862 alpha=90.00 beta=90.00 gamma=90.00
Last column: nearest neighbours and their distance in Å.
Space group P4/mmm (No. 123)
Symmetry-distinct sites (fractional):
1 In 0.0000 0.0000 0.0000 x1  2 Co 2.54
2 Co 0.0000 0.0000 0.5000 x1  4 Sn 2.49, 2 In 2.54
3 Sn 0.0000 0.5000 0.5000 x2  2 Co 2.49
4 Bi 0.5000 0.5000 0.0000 x1  4 In 3.52, 8 Sn 3.56

**Calculated formation energy**: 90 meV/atom
**Crystal system**: tetragonal

---

Number 1: N(E_F) 4.32 states/eV/f.u., magnetization 0.0 μB/cell. Number 2: N(E_F) 2.82 states/eV/f.u., magnetization 0.0 μB/cell. Number 3: N(E_F) 2.14 states/eV/f.u., magnetization 0.0 μB/cell. Number 4: N(E_F) 1.73 states/eV/f.u., magnetization 0.0 μB/cell. Number 5: N(E_F) 7.88 states/eV/f.u., magnetization 4.0 μB/cell. Number 6: N(E_F) 5.12 states/eV/f.u., magnetization 0.0 μB/cell.